[1]
The following is a PBE calculation of a geometry-optimized AcLa2In9 structure, from Alexandria.

Output
SG: No. 123

Geometry as extended XYZ:
```
12
Lattice="4.832 0.000 0.000 0.000 4.832 0.000 0.000 0.000 14.499" Properties=species:S:1:pos:R:3 pbc="T T T"
Ac 0.000 0.000 0.000
La 0.000 0.000 4.884
La 0.000 0.000 9.616
In 0.000 2.416 2.501
In 0.000 2.416 7.250
In 0.000 2.416 11.999
In 2.416 0.000 2.501
In 2.416 0.000 7.250
In 2.416 0.000 11.999
In 2.416 2.416 0.000
In 2.416 2.416 4.859
In 2.416 2.416 9.641
```

=====

[2]
The following is a PBE calculation of a geometry-optimized HfTiCuOs structure, from Alexandria.

Output
SG: No. 216

Geometry as extended XYZ:
```
4
Lattice="0.000 3.177 3.177 3.177 0.000 3.177 3.177 3.177 0.000" Properties=species:S:1:pos:R:3 pbc="T T T"
Hf 0.000 0.000 0.000
Ti 3.177 3.177 3.177
Cu 1.589 1.589 1.589
Os 4.766 4.766 4.766
```

=====

[3]
The following is a PBE calculation of a geometry-optimized Sr2Ag2Bi structure, from Alexandria.

Output
SG: No. 127

Geometry as extended XYZ:
```
10
Lattice="9.071 0.000 0.000 0.000 9.071 0.000 0.000 0.000 3.938" Properties=species:S:1:pos:R:3 pbc="T T T"
Sr 1.556 2.979 0.000
Sr 2.979 7.515 0.000
Sr 6.092 1.556 0.000
Sr 7.515 6.092 0.000
Ag 1.050 5.585 1.969
Ag 3.486 1.050 1.969
Ag 5.585 8.021 1.969
Ag 8.021 3.486 1.969
Bi 0.000 0.000 0.000
Bi 4.536 4.536 0.000
```

=====

[4]
The following is a PBE calculation of a geometry-optimized CaBe2Ni structure, from Alexandria.

Output
SG: No. 47

Geometry as extended XYZ:
```
4
Lattice="3.717 0.000 0.000 0.000 3.770 0.000 0.000 0.000 4.240" Properties=species:S:1:pos:R:3 pbc="T T T"
Ca 0.000 0.000 0.000
Be 0.000 1.885 2.120
Be 1.859 0.000 2.120
Ni 1.859 1.885 0.000
```

=====

| no. | formation energy from the elements (eV per formula unit) |
| --- | --- |
| 1 | -5.48 |
| 2 | -1.54 |
| 3 | -1.13 |
| 4 | 2.09 |